(1)
Entry from the Alexandria database: a geometry-optimized HgP2PbO8 structure (PBE).

POSCAR file:
```
HgP2PbO8
1.0
5.0514 0.0000 0.0000
-2.5257 4.3747 0.0000
0.0000 0.0000 7.8118
Hg P Pb O
1 2 1 8
direct
0.0000 0.0000 0.0000 Hg
0.3333 0.6667 0.2559 P
0.6667 0.3333 0.7441 P
0.0000 0.0000 0.5000 Pb
0.0586 0.3553 0.1988 O
0.2968 0.9414 0.1988 O
0.3333 0.6667 0.4543 O
0.3553 0.2968 0.8012 O
0.6447 0.7032 0.1988 O
0.6667 0.3333 0.5457 O
0.7032 0.0586 0.8012 O
0.9414 0.6447 0.8012 O
```

Properties
As for the uncorrected formation energy: -1408 meV/atom. Its crystal system is trigonal.

(2)
Entry from the Alexandria database: a geometry-optimized Cr2NiPb structure (PBE).

POSCAR file:
```
Cr2NiPb
1.0
1.5583 0.8997 8.3333
-1.5583 0.8997 8.3333
0.0000 -1.7994 8.3333
Cr Ni Pb
2 1 1
direct
0.2348 0.2348 0.2348 Cr
0.7652 0.7652 0.7652 Cr
0.5000 0.5000 0.5000 Ni
0.0000 0.0000 0.0000 Pb
```

Properties
The value obtained for the formation energy from the elements is 3.0 eV per formula unit. Its crystal system is trigonal.

(3)
Entry from the Alexandria database: a geometry-optimized Ac3HgIr structure (PBE).

POSCAR file:
```
Ac3HgIr
1.0
10.2301 0.0000 0.0000
0.0000 4.3783 0.0000
0.0000 0.0000 15.9935
Ac Hg Ir
12 4 4
direct
0.0095 0.2500 0.1069 Ac
0.1652 0.2500 0.5158 Ac
0.2073 0.7500 0.2871 Ac
0.2927 0.2500 0.7871 Ac
0.3348 0.7500 0.0158 Ac
0.4905 0.7500 0.6069 Ac
0.5095 0.2500 0.3931 Ac
0.6652 0.2500 0.9842 Ac
0.7073 0.7500 0.2129 Ac
0.7927 0.2500 0.7129 Ac
0.8348 0.7500 0.4842 Ac
0.9905 0.7500 0.8931 Ac
0.0642 0.7500 0.6777 Hg
0.4358 0.2500 0.1777 Hg
0.5642 0.7500 0.8223 Hg
0.9358 0.2500 0.3223 Hg
0.1709 0.2500 0.9481 Ir
0.3291 0.7500 0.4481 Ir
0.6709 0.2500 0.5519 Ir
0.8291 0.7500 0.0519 Ir
```

Properties
The value obtained for the energy above the most stable polymorph in this dataset is 0 meV/atom. The value obtained for the formation energy from the elements is -2.7 eV per formula unit. Its crystal system is orthorhombic.

(4)
Entry from the Alexandria database: a geometry-optimized LiSb2TeOs structure (PBE).

POSCAR file:
```
LiSb2TeOs
1.0
4.7583 0.0000 0.0000
0.0000 4.7583 0.0000
0.0000 0.0000 4.8401
Li Sb Te Os
1 2 1 1
direct
0.0000 0.0000 0.0000 Li
0.0000 0.5000 0.0000 Sb
0.5000 0.0000 0.0000 Sb
0.0000 0.0000 0.5000 Te
0.5000 0.5000 0.5000 Os
```

Properties
As for the uncorrected formation energy: 1133 meV/atom. The value obtained for the energy above the most stable polymorph in this dataset is 705 meV/atom. Its crystal system is tetragonal.

(5)
Entry from the Alexandria database: a geometry-optimized LaHg2Bi structure (PBE).

POSCAR file:
```
LaHg2Bi
1.0
4.6980 0.0000 0.0000
0.0000 4.6980 0.0000
0.0000 0.0000 5.1699
La Hg Bi
1 2 1
direct
0.0000 0.0000 0.0000 La
0.0000 0.5000 0.5000 Hg
0.5000 0.0000 0.5000 Hg
0.5000 0.5000 0.0000 Bi
```

Properties
The value obtained for the formation energy from the elements is -2.2 eV per formula unit. Its crystal system is tetragonal.

(6)
Entry from the Alexandria database: a geometry-optimized Ga2CoAu structure (PBE).

POSCAR file:
```
Ga2CoAu
1.0
1.4226 0.8213 9.5406
-1.4226 0.8213 9.5406
0.0000 -1.6427 9.5406
Ga Co Au
2 1 1
direct
0.0831 0.0831 0.0831 Ga
0.9169 0.9169 0.9169 Ga
0.0000 0.0000 0.0000 Co
0.5000 0.5000 0.5000 Au
```

Properties
The value obtained for the energy above the most stable polymorph in this dataset is 420 meV/atom. The value obtained for the formation energy from the elements is 1.1 eV per formula unit. Its crystal system is trigonal.

Calculated values (eV/atom) of VASP energy for the records, taken in order: -5.9492 -6.4371 -4.8387 -3.7730 -2.8910 -3.8243.